(1)
12
Lattice="2.155 -7.300 0.000 2.155 7.300 0.000 0.000 0.000 10.618" Properties=species:S:1:pos:R:3 comment="PBE-GGA SrYTe2AuS, relaxed" total_magnetization_mub_per_atom=0.00 dft_energy_ev_per_atom=-4.9305 pbc="T T T"
Sr 2.155 3.992 7.964
Sr 2.155 -3.992 2.655
Y 2.155 0.000 0.000
Y 2.155 0.000 5.309
Te 2.155 5.127 0.607
Te 2.155 5.127 4.703
Te 2.155 -5.127 5.916
Te 2.155 -5.127 10.012
Au 2.155 7.008 2.655
Au 2.155 -7.008 7.964
S 2.155 1.123 2.655
S 2.155 -1.123 7.964

***

(2)
8
Lattice="3.777 0.000 0.000 0.000 3.777 0.000 0.000 0.000 8.121" Properties=species:S:1:pos:R:3 comment="PBE-GGA DyYCo2B2P2, relaxed" total_magnetization_mub_per_atom=0.00 dft_energy_ev_per_atom=-6.9251 pbc="T T T"
Dy 0.000 0.000 0.000
Y 1.888 1.888 3.391
Co 0.000 1.888 5.762
Co 1.888 0.000 5.762
B 0.000 0.000 4.909
B 1.888 1.888 6.612
P 0.000 0.000 2.900
P 1.888 1.888 0.496

***

(3)
8
Lattice="4.596 0.000 0.000 0.000 4.596 0.000 0.000 0.000 6.583" Properties=species:S:1:pos:R:3 comment="PBE-GGA Li4In2GaAg, relaxed" dft_energy_ev_per_atom=-2.6851 pbc="T T T"
Li 0.000 0.000 0.000
Li 0.000 2.298 4.941
Li 2.298 0.000 1.643
Li 2.298 2.298 3.292
In 0.000 2.298 1.642
In 2.298 0.000 4.942
Ga 2.298 2.298 0.000
Ag 0.000 0.000 3.292

***

(4)
6
Lattice="5.766 0.000 0.000 -2.883 4.993 0.000 0.000 0.000 5.243" Properties=species:S:1:pos:R:3 comment="PBE-GGA ErZr2, relaxed" total_magnetization_mub_per_atom=0.00 dft_energy_ev_per_atom=-7.1776 pbc="T T T"
Er 0.000 3.329 0.000
Er 2.883 1.664 0.000
Zr 0.000 0.000 0.000
Zr -1.967 3.407 2.621
Zr 0.916 1.586 2.621
Zr 3.934 0.000 2.621

***

(5)
6
Lattice="4.091 0.000 0.000 -2.046 3.543 0.000 0.000 0.000 5.059" Properties=species:S:1:pos:R:3 comment="PBE-GGA GaFeNi, relaxed" total_magnetization_mub_per_atom=0.85 dft_energy_ev_per_atom=-5.8399 pbc="T T T"
Ga 0.000 2.362 1.265
Ga 2.046 1.181 3.794
Fe 0.000 0.000 0.000
Fe 0.000 0.000 2.530
Ni 0.000 2.362 3.794
Ni 2.046 1.181 1.265

***

(6)
5
Lattice="-2.274 2.274 6.203 2.274 -2.274 6.203 2.274 2.274 -6.203" Properties=species:S:1:pos:R:3 comment="PBE-GGA BaCd2PdAu, relaxed" dft_energy_ev_per_atom=-2.9417 pbc="T T T"
Ba 0.000 0.000 0.000
Cd 2.274 0.000 3.177
Cd 0.000 2.274 3.177
Pd 0.000 0.000 4.809
Au 0.000 0.000 7.545